This record from Alexandria via LeMat-Bulk describes an optimized crystal structure of AlRe2Br. The functional is GGA-PBE.

Results
* distance to the lowest polymorph of the same formula: 0.0 kJ/mol of atoms
* electronic total energy: -7.447 eV/atom
* density of states at the Fermi level: 0.49 states/eV/atom

Structure (CIF):
```
data_AlRe2Br
_chemical_formula_sum 'Al1 Re2 Br1'
_space_group_name_H-M_alt 'P 1 m 1'
_space_group_IT_number 6
_space_group_name_Hall 'P -2y'
_cell_length_a 3.059
_cell_length_b 3.053
_cell_length_c 7.680
_cell_angle_alpha 90.00
_cell_angle_beta 90.06
_cell_angle_gamma 90.00
loop_
_atom_site_label
_atom_site_fract_x
_atom_site_fract_y
_atom_site_fract_z
_atom_site_occupancy
Al1 0.000 0.000 0.000 1
Re1 0.001 0.000 0.398 1
Re2 0.501 0.500 0.208 1
Br1 0.002 0.500 0.685 1
```

=====

This record from Alexandria via LeMat-Bulk describes an optimized crystal structure of AlReBr2. The functional is GGA-PBE.

Results
* distance to the lowest polymorph of the same formula: 22.3 kJ/mol of atoms
* electronic total energy: -4.650 eV/atom
* density of states at the Fermi level: 0.72 states/eV/atom

Structure (CIF):
```
data_AlReBr2
_chemical_formula_sum 'Al2 Re2 Br4'
_space_group_name_H-M_alt 'C 1 m 1'
_space_group_IT_number 8
_space_group_name_Hall 'C -2y'
_cell_length_a 9.128
_cell_length_b 3.277
_cell_length_c 7.622
_cell_angle_alpha 90.00
_cell_angle_beta 109.16
_cell_angle_gamma 90.00
loop_
_atom_site_label
_atom_site_fract_x
_atom_site_fract_y
_atom_site_fract_z
_atom_site_occupancy
Al1 0.000 0.000 0.000 1
Re1 0.280 0.000 0.000 1
Br1 0.194 0.500 0.722 1
Br2 0.345 0.500 0.278 1
```

=====

In the order shown, the computed ΔE_f (raw) values come out to 0.131; 0.234 eV per atom.